GGA-PBE TaTc2Sb, optimized geometry; density = 11.00 Mg/m³; formation energy without anion corrections = 0.7151 eV per atom; space-group type = No. 122
1.0
7.315 0.000 0.000
0.000 7.315 0.000
3.657 3.657 2.815
Ta Sb Tc
2 2 4
Direct
0.000 0.000 0.000 Ta
0.750 0.250 0.500 Ta
0.250 0.750 0.500 Sb
0.500 0.500 0.000 Sb
0.875 0.901 0.750 Tc
0.375 0.349 0.750 Tc
0.651 0.125 0.250 Tc
0.099 0.625 0.250 Tc

=====

GGA-PBE AcInAuBr, optimized geometry; density = 7.77 Mg/m³; formation energy without anion corrections = -1.0222 eV per atom; space-group type = No. 166
1.0
4.700 0.000 0.000
2.350 4.070 0.000
2.350 1.357 13.832
Br Ac Au In
2 2 2 2
Direct
0.795 0.795 0.614 Br
0.205 0.205 0.386 Br
0.086 0.086 0.743 Ac
0.914 0.914 0.257 Ac
0.622 0.622 0.135 Au
0.378 0.378 0.865 Au
0.310 0.310 0.071 In
0.690 0.690 0.929 In

=====

Question: Number 1 is which compound?
Answer: TaTc2Sb